Material: Sn2Pt
Method: DFT, PBE
State: optimized geometry

Unit cell a=4.624 b=4.624 c=4.624 alpha=60.00 beta=60.00 gamma=60.00
Fractional coordinates of all 3 atoms:
Sn1 0.500 0.500 0.500
Sn2 0.000 0.000 0.000
Pt1 0.250 0.250 0.250

Space group: Fm-3m (225)
Crystal system: cubic
Electronic total energy (eV/atom): -5.14
Energy of formation (eV/atom): -0.460



Material: HgP2Cl6
Method: DFT, PBE
State: optimized geometry

Unit cell a=6.698 b=11.110 c=11.110 alpha=84.47 beta=72.68 gamma=72.68
Fractional coordinates of all 18 atoms:
Hg1 0.250 0.019 0.981
Hg2 0.750 0.981 0.019
P1 0.578 0.502 0.245
P2 0.922 0.755 0.498
P3 0.422 0.498 0.755
P4 0.078 0.245 0.502
Cl1 0.771 0.234 0.509
Cl2 0.729 0.491 0.766
Cl3 0.229 0.766 0.491
Cl4 0.271 0.509 0.234
Cl5 0.140 0.127 0.649
Cl6 0.360 0.351 0.873
Cl7 0.860 0.873 0.351
Cl8 0.640 0.649 0.127
Cl9 0.768 0.349 0.132
Cl10 0.732 0.868 0.651
Cl11 0.232 0.651 0.868
Cl12 0.268 0.132 0.349

Space group: C2/c (15)
Crystal system: monoclinic
E_form (uncorrected) (eV per atom): -0.60
Electronic total energy (eV/atom): -3.07



Material: Ho4NiRh2
Method: DFT, PBE
State: optimized geometry

Unit cell a=4.772 b=4.772 c=8.341 alpha=73.38 beta=73.38 gamma=60.00
Fractional coordinates of all 7 atoms:
Ho1 0.875 0.875 0.374
Ho2 0.125 0.125 0.626
Ho3 0.625 0.625 0.126
Ho4 0.375 0.375 0.874
Ni1 0.000 0.000 0.000
Rh1 0.749 0.749 0.754
Rh2 0.251 0.251 0.246

Space group: R-3m (166)
Crystal system: trigonal
Electronic total energy (eV/atom): -6.20
Energy of formation (eV/atom): -0.658



Material: Ca2ZrW
Method: DFT, PBE
State: optimized geometry

Unit cell a=6.153 b=6.153 c=2.961 alpha=90.00 beta=90.00 gamma=122.24
Fractional coordinates of all 4 atoms:
Ca1 0.000 0.000 0.000
Ca2 0.500 0.500 0.000
Zr1 0.000 0.500 0.500
W1 0.500 0.000 0.500

Space group: Cmmm (65)
Crystal system: orthorhombic
Distance to the lowest polymorph of the same formula (meV/atom): 425
Electronic total energy (eV/atom): -5.56
Energy of formation (eV/atom): 0.813



Material: LiCuSn2
Method: DFT, PBE
State: optimized geometry

Unit cell a=4.232 b=5.541 c=4.233 alpha=90.00 beta=120.01 gamma=90.00
Fractional coordinates of all 4 atoms:
Li1 0.500 0.509 0.000
Cu1 0.500 0.009 0.000
Sn1 0.167 0.206 0.333
Sn2 0.833 0.812 0.667

Space group: P-3m1 (164)
Crystal system: trigonal
Distance to the lowest polymorph of the same formula (meV/atom): 0
Electronic total energy (eV/atom): -3.64
Energy of formation (eV/atom): -0.131



Material: DySnS3
Method: DFT, PBE
State: optimized geometry

Unit cell a=6.891 b=6.892 c=7.314 alpha=61.90 beta=61.90 gamma=59.97
Fractional coordinates of all 10 atoms:
Dy1 0.351 0.351 0.948
Dy2 0.649 0.649 0.052
Sn1 0.851 0.851 0.447
Sn2 0.149 0.149 0.553
S1 0.749 0.453 0.747
S2 0.051 0.749 0.747
S3 0.453 0.052 0.747
S4 0.251 0.547 0.253
S5 0.949 0.251 0.253
S6 0.547 0.948 0.253

Space group: R-3 (148)
Crystal system: trigonal
E_form (uncorrected) (eV per atom): -1.13
Electronic total energy (eV/atom): -5.33



Material: Nb2NiH2
Method: DFT, PBE
State: optimized geometry

Unit cell a=2.944 b=2.944 c=6.474 alpha=76.86 beta=76.86 gamma=90.00
Fractional coordinates of all 5 atoms:
Ni1 0.000 0.000 0.000
Nb1 0.359 0.359 0.281
Nb2 0.641 0.641 0.719
H1 0.750 0.250 0.500
H2 0.250 0.750 0.500

Space group: I4/mmm (139)
Crystal system: tetragonal
Distance to the lowest polymorph of the same formula (meV/atom): 0
Electronic total energy (eV/atom): -6.69



Material: MnHg3Se
Method: DFT, PBE
State: optimized geometry

Unit cell a=5.513 b=5.513 c=5.513 alpha=90.00 beta=90.00 gamma=90.00
Last column: magnetic moment on the atom in μB.
Fractional coordinates of all 5 atoms:
Mn1 0.500 0.500 0.500  4.53
Hg1 0.000 0.500 0.000  0.00
Hg2 0.000 0.000 0.500  0.02
Hg3 0.500 0.000 0.000  0.00
Se1 0.000 0.000 0.000  -0.01

Space group: Pm-3m (221)
Crystal system: cubic
Distance to the lowest polymorph of the same formula (meV/atom): 214
E_form (uncorrected) (eV per atom): 0.72
Electronic total energy (eV/atom): -1.99



Material: CdAuCl2
Method: DFT, PBE
State: optimized geometry

Unit cell a=3.910 b=3.910 c=8.857 alpha=90.00 beta=90.00 gamma=123.86
Fractional coordinates of all 4 atoms:
Cl1 0.000 0.000 0.934
Cl2 0.500 0.500 0.319
Au1 0.000 0.000 0.510
Cd1 0.500 0.500 0.738

Space group: Cmm2 (35)
Crystal system: orthorhombic
Distance to the lowest polymorph of the same formula (meV/atom): 91
E_form (uncorrected) (eV per atom): -0.33
Electronic total energy (eV/atom): -2.31



Material: Pm12TmGe6
Method: DFT, PBE
State: optimized geometry

Unit cell a=8.691 b=8.691 c=8.691 alpha=103.92 beta=103.92 gamma=103.92
Fractional coordinates of all 19 atoms:
Pm1 0.876 0.124 0.500
Pm2 0.825 0.562 0.562
Pm3 0.562 0.562 0.825
Pm4 0.438 0.175 0.438
Pm5 0.438 0.438 0.175
Pm6 0.175 0.438 0.438
Pm7 0.124 0.500 0.876
Pm8 0.500 0.876 0.124
Pm9 0.124 0.876 0.500
Pm10 0.876 0.500 0.124
Pm11 0.500 0.124 0.876
Pm12 0.562 0.825 0.562
Tm1 0.000 0.000 0.000
Ge1 0.696 0.251 0.251
Ge2 0.251 0.251 0.696
Ge3 0.251 0.696 0.251
Ge4 0.749 0.749 0.304
Ge5 0.304 0.749 0.749
Ge6 0.749 0.304 0.749

Space group: R-3m (166)
Crystal system: trigonal
Electronic total energy (eV/atom): -5.08
Energy of formation (eV/atom): -0.390



Material: Fe2ReSe
Method: DFT, PBE
State: optimized geometry

Unit cell a=4.230 b=4.230 c=4.230 alpha=60.00 beta=60.00 gamma=60.00
Last column: magnetic moment on the atom in μB.
Fractional coordinates of all 4 atoms:
Fe1 0.000 0.000 0.000  1.95
Fe2 0.250 0.250 0.250  2.17
Re1 0.500 0.500 0.500  -0.26
Se1 0.750 0.750 0.750  0.01

Space group: F-43m (216)
Crystal system: cubic
E_form (uncorrected) (eV per atom): 0.45
Electronic total energy (eV/atom): -7.76



Material: TlCuIr2
Method: DFT, PBE
State: optimized geometry

Unit cell a=2.903 b=4.771 c=4.639 alpha=90.00 beta=90.00 gamma=90.00
Fractional coordinates of all 4 atoms:
Cu1 0.000 0.500 0.500
Ir1 0.000 0.000 0.000
Ir2 0.500 0.500 0.000
Tl1 0.500 0.000 0.500

Space group: Pmmm (47)
Crystal system: orthorhombic
Distance to the lowest polymorph of the same formula (meV/atom): 112
Electronic total energy (eV/atom): -5.57
Energy of formation (eV/atom): 0.473